1.
VASP calculation (PBE-GGA) on an optimized crystal structure of CaTl.

Calculated values
Symmetry: P6_3/m
Raw total energy (eV/cell): -28.78

Cell: 8.884 8.884 5.887 Å, 90.00 90.00 120.00°
Element x y z (fractional)
1 Ca 0.690 0.903 0.250
2 Ca 0.788 0.690 0.750
3 Ca 0.097 0.788 0.250
4 Ca 0.310 0.097 0.750
5 Ca 0.212 0.310 0.250
6 Ca 0.903 0.212 0.750
7 Tl 0.886 0.366 0.250
8 Tl 0.520 0.886 0.750
9 Tl 0.634 0.520 0.250
10 Tl 0.114 0.634 0.750
11 Tl 0.480 0.114 0.250
12 Tl 0.366 0.480 0.750



2.
VASP calculation (PBE-GGA) on an optimized crystal structure of CaTl.

Calculated values
Symmetry: P6_3/mmc
Raw total energy (eV/cell): -9.88

Cell: 3.784 3.784 10.232 Å, 90.00 90.00 120.00°
Element x y z (fractional)
1 Tl 0.000 0.000 0.000
2 Tl 0.000 0.000 0.500
3 Ca 0.333 0.667 0.250
4 Ca 0.667 0.333 0.750



3.
VASP calculation (PBE-GGA) on an optimized crystal structure of CaTl.

Calculated values
Symmetry: Fm-3m
Raw total energy (eV/cell): -18.65

Cell: 6.489 6.489 6.489 Å, 90.00 90.00 90.00°
Element x y z (fractional)
1 Ca 0.000 0.000 0.000
2 Ca 0.000 0.500 0.500
3 Ca 0.500 0.000 0.500
4 Ca 0.500 0.500 0.000
5 Tl 0.500 0.500 0.500
6 Tl 0.500 0.000 0.000
7 Tl 0.000 0.500 0.000
8 Tl 0.000 0.000 0.500



4.
VASP calculation (PBE-GGA) on an optimized crystal structure of CaTl8.

Calculated values
Symmetry: I4/mmm
Raw total energy (eV/cell): -21.63

Cell: 4.095 8.413 8.413 Å, 86.60 75.91 75.91°
Element x y z (fractional)
1 Ca 0.000 0.000 0.000
2 Tl 0.669 0.000 0.661
3 Tl 0.331 0.000 0.339
4 Tl 0.334 0.666 0.666
5 Tl 0.669 0.661 0.000
6 Tl 0.000 0.666 0.334
7 Tl 0.331 0.339 0.000
8 Tl 0.666 0.334 0.334
9 Tl 0.000 0.334 0.666



5.
VASP calculation (PBE-GGA) on an optimized crystal structure of Ca3Tl2.

Calculated values
Polymorph energy (0 for the lowest one) (eV/atom): 0.004
Symmetry: I4/mmm

Cell: 3.914 3.914 10.771 Å, 100.47 100.47 90.00°
Element x y z (fractional)
1 Ca 0.000 0.000 0.000
2 Ca 0.182 0.182 0.364
3 Ca 0.818 0.818 0.636
4 Tl 0.403 0.403 0.807
5 Tl 0.597 0.597 0.193



6.
VASP calculation (PBE-GGA) on an optimized crystal structure of CaTl.

Calculated values
Symmetry: Amm2
Raw total energy (eV/cell): -29.45

Cell: 4.847 11.466 7.025 Å, 90.00 90.00 90.00°
Element x y z (fractional)
1 Ca 0.500 0.833 0.661
2 Ca 0.500 0.167 0.661
3 Ca 0.500 0.333 0.161
4 Ca 0.500 0.667 0.161
5 Ca 0.500 0.000 0.161
6 Ca 0.500 0.500 0.661
7 Tl 0.000 0.333 0.840
8 Tl 0.000 0.667 0.840
9 Tl 0.000 0.833 0.340
10 Tl 0.000 0.167 0.340
11 Tl 0.000 0.000 0.839
12 Tl 0.000 0.500 0.339



7.
VASP calculation (PBE-GGA) on an optimized crystal structure of Ca3Tl.

Calculated values
Symmetry: I4/mmm
Raw total energy (eV/cell): -9.08

Cell: 5.695 5.695 5.728 Å, 119.81 119.81 90.00°
Element x y z (fractional)
1 Tl 0.000 0.000 0.000
2 Ca 0.750 0.250 0.500
3 Ca 0.250 0.750 0.500
4 Ca 0.500 0.500 0.000



8.
VASP calculation (PBE-GGA) on an optimized crystal structure of CaTl2.

Calculated values
Symmetry: P-3m1
Raw total energy (eV/cell): -7.25

Cell: 3.894 3.894 7.181 Å, 90.00 90.00 120.00°
Element x y z (fractional)
1 Tl 0.667 0.333 0.657
2 Tl 0.333 0.667 0.343
3 Ca 0.000 0.000 0.000



9.
VASP calculation (PBE-GGA) on an optimized crystal structure of CaTl2.

Calculated values
Symmetry: I4/mcm
Raw total energy (eV/cell): -14.17

Cell: 6.340 6.340 6.340 Å, 110.23 110.23 107.97°
Element x y z (fractional)
1 Ca 0.250 0.250 0.000
2 Ca 0.750 0.750 0.000
3 Tl 0.342 0.842 0.185
4 Tl 0.658 0.158 0.815
5 Tl 0.158 0.342 0.500
6 Tl 0.842 0.658 0.500



10.
VASP calculation (PBE-GGA) on an optimized crystal structure of CaTl.

Calculated values
Symmetry: I4_1/amd
Raw total energy (eV/cell): -9.92

Cell: 6.290 6.290 6.290 Å, 135.33 135.33 65.02°
Element x y z (fractional)
1 Tl 0.500 0.500 0.000
2 Tl 0.750 0.250 0.500
3 Ca 0.000 0.000 0.000
4 Ca 0.250 0.750 0.500



11.
VASP calculation (PBE-GGA) on an optimized crystal structure of CaTl.

Calculated values
Symmetry: R-3m
Raw total energy (eV/cell): -9.36

Cell: 5.511 5.511 5.511 Å, 62.39 62.39 62.39°
Element x y z (fractional)
1 Tl 0.125 0.125 0.125
2 Tl 0.875 0.875 0.875
3 Ca 0.372 0.372 0.372
4 Ca 0.628 0.628 0.628



12.
VASP calculation (PBE-GGA) on an optimized crystal structure of Ca4Tl.

Calculated values
Polymorph energy (0 for the lowest one) (eV/atom): 0.000
Symmetry: Fdd2

Cell: 7.508 7.508 8.696 Å, 103.32 103.32 117.80°
Element x y z (fractional)
1 Ca 0.646 0.492 0.779
2 Ca 0.713 0.867 0.221
3 Ca 0.769 0.066 0.867
4 Ca 0.199 0.902 0.133
5 Ca 0.316 0.519 0.367
6 Ca 0.152 0.949 0.633
7 Ca 0.117 0.463 0.721
8 Ca 0.742 0.396 0.279
9 Tl 0.324 0.324 0.000
10 Tl 0.574 0.074 0.500



What D(E_F) values result from the calculations? In sequence: 6.72; 2.76; 6.15; 5.26; 3.32; 7.90; 2.93; 1.05; 4.40; 2.57; 2.27; 11.40 states/eV/cell.
What total moment values result from the calculations? In sequence: 0.00; 0.00; 0.00; 0.00; 0.00; 0.00; 0.00; 0.00; 0.00; 0.00; 0.00; 0.00 μB/f.u..